# 1
Crystalline VAgP2 at its relaxed geometry. Source: the Alexandria database, functional PBE.

Values from the calculation:
SG	Fm-3m (225)
final energy	-21.75	eV per formula unit
density	6.1	g/cm³

Lattice parameters (Å, degrees): 4.408 4.408 4.408 60.00 60.00 60.00
Fractional positions:
1 V 0.000 0.000 0.000
2 Ag 0.500 0.500 0.500
3 P 0.250 0.250 0.250
4 P 0.750 0.750 0.750


# 2
Crystalline VAgP at its relaxed geometry. Source: the Alexandria database, functional PBE.

Values from the calculation:
SG	P4/nmm (129)
final energy	-18.13	eV per formula unit
density	6.8	g/cm³

Lattice parameters (Å, degrees): 3.802 3.802 6.409 90.00 90.00 90.00
Fractional positions:
1 V 0.250 0.750 0.000
2 V 0.750 0.250 0.000
3 Ag 0.250 0.250 0.365
4 Ag 0.750 0.750 0.635
5 P 0.250 0.250 0.765
6 P 0.750 0.750 0.235